LiIn2Hg at its PBEsol-relaxed geometry, computed with SCAN.

Structure (POSCAR):
```
LiIn2Hg
1.0
3.068 0.000 0.000
0.000 3.206 0.000
0.000 0.000 8.812
Li In Hg
1 2 1
Cartesian
0.000 0.000 0.000
0.000 0.000 4.602
1.534 1.603 2.087
1.534 1.603 7.058
```

Summary:
ΔE_f: -0.193 eV/atom
Calculated density: 8.4 g cm⁻³
Total moment: 0.0000 μB per atom